The following is a DFT calculation (PBE) of a relaxed Ac3GaCu6Si2 crystal.

Cell lengths 6.199, 6.199, 7.789 Å; angles 90.00, 90.00, 120.00 degrees
Atoms (fractional coordinates):
Cu1 0.802 0.198 0.623
Cu2 0.604 0.802 0.377
Cu3 0.198 0.396 0.377
Cu4 0.198 0.802 0.377
Cu5 0.396 0.198 0.623
Cu6 0.802 0.604 0.623
Ac1 0.333 0.667 0.745
Ac2 0.000 0.000 0.000
Ac3 0.667 0.333 0.255
Si1 0.667 0.333 0.861
Si2 0.333 0.667 0.139
Ga1 0.000 0.000 0.500

space group	P-3m1
E_form (uncorrected)	-215	meV/atom
total moment	0.0	μB/f.u.